(1)
The following is a DFT calculation (PBE) of a relaxed structure of Zn3CoNi.

Properties
energy above the lowest structure with this stoichiometry = 56 meV per atom
theoretical density = 6.0 g/cm3
crystal system = cubic
symmetry = Pm-3m
energy relative to the elements = 3.62 eV/f.u.

Geometry as POSCAR:
```
Zn3CoNi
1.0
4.440 0.000 0.000
0.000 4.440 0.000
0.000 0.000 4.440
Zn Co Ni
3 1 1
Direct
0.000 0.000 0.500 Zn
0.000 0.500 0.000 Zn
0.500 0.000 0.000 Zn
0.000 0.000 0.000 Co
0.500 0.500 0.500 Ni
```

(2)
The following is a DFT calculation (PBE) of a relaxed structure of Zn2CoNi.

Properties
theoretical density = 8.2 g/cm3
crystal system = tetragonal
symmetry = P4mm
energy relative to the elements = -0.15 eV/f.u.

Geometry as POSCAR:
```
Zn2CoNi
1.0
2.628 0.000 0.000
0.000 2.628 0.000
0.000 0.000 7.255
Zn Co Ni
2 1 1
Direct
0.000 0.000 0.000 Zn
0.500 0.500 0.291 Zn
0.000 0.000 0.539 Co
0.500 0.500 0.757 Ni
```